(1)
# LiPt2Se2 | the Alexandria database | SCAN | single point on PBEsol structure
# * formation energy without anion corrections: -0.1625 eV per atom
# * theoretical density: 9.94 Mg/m³
data_LiPt2Se2
_chemical_formula_sum 'Li1 Pt2 Se2'
_space_group_name_H-M_alt 'P 1'
_space_group_IT_number 1
_cell_length_a 3.8579
_cell_length_b 3.8579
_cell_length_c 6.7988
_cell_angle_alpha 106.48
_cell_angle_beta 106.48
_cell_angle_gamma 90.00
loop_
_space_group_symop_operation_xyz
'x,y,z'
loop_
_atom_site_label
_atom_site_type_symbol
_atom_site_fract_x
_atom_site_fract_y
_atom_site_fract_z
_atom_site_occupancy
Se1 Se 0.3920 0.3920 0.7840 1
Pt1 Pt 0.2500 0.7500 0.5000 1
Se2 Se 0.6080 0.6080 0.2160 1
Li1 Li 0.0000 0.0000 0.0000 1
Pt2 Pt 0.7500 0.2500 0.5000 1

(2)
# Be3Te | the Alexandria database | SCAN | single point on PBEsol structure
# * formation energy without anion corrections: 0.5373 eV per atom
# * polymorph energy (0 for the lowest one): 0.0 kJ per mole of atoms
# * theoretical density: 4.25 Mg/m³
data_Be3Te
_chemical_formula_sum 'Be3 Te1'
_space_group_name_H-M_alt 'P 1'
_space_group_IT_number 1
_cell_length_a 3.6755
_cell_length_b 3.6755
_cell_length_c 5.1619
_cell_angle_alpha 90.00
_cell_angle_beta 90.00
_cell_angle_gamma 120.00
loop_
_space_group_symop_operation_xyz
'x,y,z'
loop_
_atom_site_label
_atom_site_type_symbol
_atom_site_fract_x
_atom_site_fract_y
_atom_site_fract_z
_atom_site_occupancy
Te1 Te 0.3333 0.6667 0.5000 1
Be1 Be 0.0000 0.0000 0.8042 1
Be2 Be 0.3333 0.6667 0.0000 1
Be3 Be 0.0000 0.0000 0.1958 1

(3)
# HfIn2Cu | the Alexandria database | SCAN | single point on PBEsol structure
# * ΔH_f (0 K): 179.2 meV per atom
# * theoretical density: 10.20 Mg/m³
data_HfIn2Cu
_chemical_formula_sum 'Hf1 In2 Cu1'
_space_group_name_H-M_alt 'P 1'
_space_group_IT_number 1
_cell_length_a 4.7712
_cell_length_b 4.7712
_cell_length_c 4.7712
_cell_angle_alpha 60.00
_cell_angle_beta 60.00
_cell_angle_gamma 60.00
loop_
_space_group_symop_operation_xyz
'x,y,z'
loop_
_atom_site_label
_atom_site_type_symbol
_atom_site_fract_x
_atom_site_fract_y
_atom_site_fract_z
_atom_site_occupancy
Hf1 Hf 0.5000 0.5000 0.5000 1
In1 In 0.2500 0.2500 0.2500 1
In2 In 0.7500 0.7500 0.7500 1
Cu1 Cu 0.0000 0.0000 0.0000 1

(4)
# LaCoSiC2 | the Alexandria database | SCAN | single point on PBEsol structure
# * formation energy without anion corrections: 2.7628 eV per atom
# * theoretical density: 4.21 Mg/m³
data_LaCoSiC2
_chemical_formula_sum 'La1 Co1 Si1 C2'
_space_group_name_H-M_alt 'P 1'
_space_group_IT_number 1
_cell_length_a 4.2523
_cell_length_b 4.2523
_cell_length_c 5.4501
_cell_angle_alpha 90.00
_cell_angle_beta 90.00
_cell_angle_gamma 90.00
loop_
_space_group_symop_operation_xyz
'x,y,z'
loop_
_atom_site_label
_atom_site_type_symbol
_atom_site_fract_x
_atom_site_fract_y
_atom_site_fract_z
_atom_site_occupancy
C1 C 0.5000 0.0000 0.0000 1
La1 La 0.0000 0.0000 0.0000 1
Co1 Co 0.5000 0.5000 0.5000 1
Si1 Si 0.0000 0.0000 0.5000 1
C2 C 0.0000 0.5000 0.0000 1

(5)
# Sc2CrTc | the Alexandria database | SCAN | single point on PBEsol structure
# * ΔH_f (0 K): 137.3 meV per atom
# * polymorph energy (0 for the lowest one): 5.5 kJ per mole of atoms
# * theoretical density: 6.08 Mg/m³
data_Sc2CrTc
_chemical_formula_sum 'Sc2 Cr1 Tc1'
_space_group_name_H-M_alt 'P 1'
_space_group_IT_number 1
_cell_length_a 2.8791
_cell_length_b 5.1362
_cell_length_c 5.1362
_cell_angle_alpha 112.66
_cell_angle_beta 101.38
_cell_angle_gamma 101.38
loop_
_space_group_symop_operation_xyz
'x,y,z'
loop_
_atom_site_label
_atom_site_type_symbol
_atom_site_fract_x
_atom_site_fract_y
_atom_site_fract_z
_atom_site_occupancy
Sc1 Sc 0.0000 0.5000 0.0000 1
Cr1 Cr 0.5000 0.5000 0.5000 1
Sc2 Sc 0.0000 0.0000 0.5000 1
Tc1 Tc 0.5000 0.0000 0.0000 1

(6)
# Sr2CoBr | the Alexandria database | SCAN | single point on PBEsol structure
# * formation energy without anion corrections: -0.4208 eV per atom
# * polymorph energy (0 for the lowest one): 0.0 kJ per mole of atoms
# * theoretical density: 4.88 Mg/m³
data_Sr2CoBr
_chemical_formula_sum 'Sr2 Co1 Br1'
_space_group_name_H-M_alt 'P 1'
_space_group_IT_number 1
_cell_length_a 3.7953
_cell_length_b 4.9319
_cell_length_c 6.0168
_cell_angle_alpha 90.00
_cell_angle_beta 108.38
_cell_angle_gamma 90.00
loop_
_space_group_symop_operation_xyz
'x,y,z'
loop_
_atom_site_label
_atom_site_type_symbol
_atom_site_fract_x
_atom_site_fract_y
_atom_site_fract_z
_atom_site_occupancy
Sr1 Sr 0.9856 0.5000 0.9712 1
Br1 Br 0.5258 0.0000 0.0517 1
Sr2 Sr 0.2545 0.0000 0.5089 1
Co1 Co 0.7341 0.5000 0.4682 1

(7)
# KZnHg2 | the Alexandria database | SCAN | single point on PBEsol structure
# * ΔH_f (0 K): -161.3 meV per atom
# * theoretical density: 7.47 Mg/m³
data_KZnHg2
_chemical_formula_sum 'K1 Zn1 Hg2'
_space_group_name_H-M_alt 'P 1'
_space_group_IT_number 1
_cell_length_a 4.6999
_cell_length_b 4.6989
_cell_length_c 6.4724
_cell_angle_alpha 111.22
_cell_angle_beta 90.00
_cell_angle_gamma 120.01
loop_
_space_group_symop_operation_xyz
'x,y,z'
loop_
_atom_site_label
_atom_site_type_symbol
_atom_site_fract_x
_atom_site_fract_y
_atom_site_fract_z
_atom_site_occupancy
Hg1 Hg 0.7015 0.4030 0.6049 1
Zn1 Zn 0.0000 0.0000 0.5000 1
Hg2 Hg 0.2985 0.5970 0.3951 1
K1 K 0.5000 0.0000 0.0000 1

(8)
# Sr2LaSb | the Alexandria database | SCAN | single point on PBEsol structure
# * formation energy without anion corrections: -0.2621 eV per atom
# * theoretical density: 4.64 Mg/m³
data_Sr2LaSb
_chemical_formula_sum 'Sr2 La1 Sb1'
_space_group_name_H-M_alt 'P 1'
_space_group_IT_number 1
_cell_length_a 3.9590
_cell_length_b 3.9590
_cell_length_c 11.7056
_cell_angle_alpha 80.26
_cell_angle_beta 80.26
_cell_angle_gamma 60.00
loop_
_space_group_symop_operation_xyz
'x,y,z'
loop_
_atom_site_label
_atom_site_type_symbol
_atom_site_fract_x
_atom_site_fract_y
_atom_site_fract_z
_atom_site_occupancy
La1 La 0.5000 0.5000 0.5000 1
Sb1 Sb 0.0000 0.0000 0.0000 1
Sr1 Sr 0.2652 0.2652 0.2043 1
Sr2 Sr 0.7348 0.7348 0.7957 1

(9)
# GdIn | the Alexandria database | SCAN | single point on PBEsol structure
# * ΔH_f (0 K): -585.4 meV per atom
# * theoretical density: 8.71 Mg/m³
data_GdIn
_chemical_formula_sum 'Gd1 In1'
_space_group_name_H-M_alt 'P 1'
_space_group_IT_number 1
_cell_length_a 3.7335
_cell_length_b 3.7280
_cell_length_c 3.7280
_cell_angle_alpha 90.00
_cell_angle_beta 90.00
_cell_angle_gamma 90.00
loop_
_space_group_symop_operation_xyz
'x,y,z'
loop_
_atom_site_label
_atom_site_type_symbol
_atom_site_fract_x
_atom_site_fract_y
_atom_site_fract_z
_atom_site_occupancy
In1 In 0.5000 0.5000 0.5000 1
Gd1 Gd 0.0000 0.0000 0.0000 1

(10)
# LiMg2Br | the Alexandria database | SCAN | single point on PBEsol structure
# * formation energy without anion corrections: 0.1712 eV per atom
# * polymorph energy (0 for the lowest one): 43.7 kJ per mole of atoms
# * theoretical density: 2.15 Mg/m³
data_LiMg2Br
_chemical_formula_sum 'Li1 Mg2 Br1'
_space_group_name_H-M_alt 'P 1'
_space_group_IT_number 1
_cell_length_a 5.2917
_cell_length_b 5.2917
_cell_length_c 5.2917
_cell_angle_alpha 60.00
_cell_angle_beta 60.00
_cell_angle_gamma 60.00
loop_
_space_group_symop_operation_xyz
'x,y,z'
loop_
_atom_site_label
_atom_site_type_symbol
_atom_site_fract_x
_atom_site_fract_y
_atom_site_fract_z
_atom_site_occupancy
Mg1 Mg 0.7500 0.7500 0.7500 1
Mg2 Mg 0.2500 0.2500 0.2500 1
Li1 Li 0.5000 0.5000 0.5000 1
Br1 Br 0.0000 0.0000 0.0000 1

(11)
# Ta2TlGeB | the Alexandria database | SCAN | single point on PBEsol structure
# * ΔH_f (0 K): 3112.7 meV per atom
# * theoretical density: 8.30 Mg/m³
data_Ta2TlGeB
_chemical_formula_sum 'Ta2 Tl1 Ge1 B1'
_space_group_name_H-M_alt 'P 1'
_space_group_IT_number 1
_cell_length_a 4.9184
_cell_length_b 5.1402
_cell_length_c 5.1402
_cell_angle_alpha 90.00
_cell_angle_beta 90.00
_cell_angle_gamma 90.00
loop_
_space_group_symop_operation_xyz
'x,y,z'
loop_
_atom_site_label
_atom_site_type_symbol
_atom_site_fract_x
_atom_site_fract_y
_atom_site_fract_z
_atom_site_occupancy
B1 B 0.5000 0.5000 0.5000 1
Ta1 Ta 0.0000 0.0000 0.5000 1
Ge1 Ge 0.5000 0.0000 0.0000 1
Ta2 Ta 0.0000 0.5000 0.0000 1
Tl1 Tl 0.0000 0.0000 0.0000 1

(12)
# TaMoBr2N | the Alexandria database | SCAN | single point on PBEsol structure
# * formation energy without anion corrections: 0.5168 eV per atom
# * theoretical density: 7.03 Mg/m³
data_TaMoBr2N
_chemical_formula_sum 'Ta1 Mo1 Br2 N1'
_space_group_name_H-M_alt 'P 1'
_space_group_IT_number 1
_cell_length_a 3.8897
_cell_length_b 5.2330
_cell_length_c 5.2330
_cell_angle_alpha 90.00
_cell_angle_beta 90.00
_cell_angle_gamma 90.00
loop_
_space_group_symop_operation_xyz
'x,y,z'
loop_
_atom_site_label
_atom_site_type_symbol
_atom_site_fract_x
_atom_site_fract_y
_atom_site_fract_z
_atom_site_occupancy
Br1 Br 0.0000 0.5000 0.0000 1
Ta1 Ta 0.0000 0.0000 0.0000 1
Mo1 Mo 0.5000 0.5000 0.5000 1
Br2 Br 0.0000 0.0000 0.5000 1
N1 N 0.5000 0.0000 0.0000 1

Short version: spin magnetization = 0.000, 0.000, 0.000, 0.455, 0.694, 0.134, 0.000, 0.288, 3.733, 0.243, 0.601, 0.831 μB/atom, in the order given.